Entry 1:
Density functional theory data (PBE) for crystalline Ac5Ce at its relaxed geometry.

## Properties
energy of formation from the pure elements: 0.083 eV per atom

Lattice parameters (Å, degrees): 5.5602 5.5269 8.7807 108.34 90.00 90.00
Closest atoms and distances in Å follow each position.
Element x y z (fractional)
1 Ac 0.5000 0.5000 0.0000  8 Ac 3.87, 4 Ce 3.92
2 Ac 0.5000 0.1629 0.3259  10 Ac 3.87-4.03, 2 Ce 3.89
3 Ac 0.0000 0.6619 0.3238  2 Ce 3.86, 10 Ac 3.87-4.03
4 Ac 0.0000 0.3381 0.6762  2 Ce 3.86, 10 Ac 3.87-4.03
5 Ac 0.5000 0.8371 0.6741  10 Ac 3.87-4.03, 2 Ce 3.89
6 Ce 0.0000 0.0000 0.0000  12 Ac 3.86-3.92



Entry 2:
Density functional theory data (PBE) for crystalline Ac3Ce at its relaxed geometry.

## Properties
energy of formation from the pure elements: 0.122 eV per atom

Lattice parameters (Å, degrees): 5.4838 5.4838 6.7313 114.04 114.04 90.00
Closest atoms and distances in Å follow each position.
Element x y z (fractional)
1 Ce 0.0000 0.0000 0.0000  12 Ac 3.88
2 Ac 0.7500 0.2500 0.5000  8 Ac 3.88, 4 Ce 3.88
3 Ac 0.5000 0.5000 0.0000  4 Ce 3.88, 8 Ac 3.88
4 Ac 0.2500 0.7500 0.5000  8 Ac 3.88, 4 Ce 3.88



Entry 3:
Density functional theory data (PBE) for crystalline AcCe6 at its relaxed geometry.

## Properties
energy of formation from the pure elements: 0.544 eV per atom

Lattice parameters (Å, degrees): 6.6663 6.6663 6.6663 109.47 109.47 109.47
Closest atoms and distances in Å follow each position.
Element x y z (fractional)
1 Ac 0.0000 0.0000 0.0000  24 Ce 4.30
2 Ce 0.5000 0.7500 0.2500  4 Ce 2.72
3 Ce 0.2500 0.5000 0.7500  4 Ce 2.72
4 Ce 0.7500 0.2500 0.5000  4 Ce 2.72
5 Ce 0.2500 0.7500 0.5000  4 Ce 2.72
6 Ce 0.5000 0.2500 0.7500  4 Ce 2.72
7 Ce 0.7500 0.5000 0.2500  4 Ce 2.72



Entry 4:
Density functional theory data (PBE) for crystalline Ac3Ce at its relaxed geometry.

## Properties
energy of formation from the pure elements: 0.134 eV per atom

Lattice parameters (Å, degrees): 6.3025 7.8372 7.8372 60.00 90.00 90.00
Closest atoms and distances in Å follow each position.
Element x y z (fractional)
1 Ac 0.7501 0.1695 0.1695  8 Ac 3.85-3.98, 4 Ce 3.86-3.92
2 Ac 0.7501 0.6611 0.1695  8 Ac 3.85-3.98, 4 Ce 3.86-3.92
3 Ac 0.2500 0.8306 0.3388  8 Ac 3.85-3.98, 4 Ce 3.86-3.92
4 Ac 0.2500 0.8306 0.8306  8 Ac 3.85-3.98, 4 Ce 3.86-3.92
5 Ac 0.7501 0.1695 0.6611  8 Ac 3.85-3.98, 4 Ce 3.86-3.92
6 Ac 0.2500 0.3388 0.8306  8 Ac 3.85-3.98, 4 Ce 3.86-3.92
7 Ce 0.7498 0.6667 0.6667  12 Ac 3.86-3.92
8 Ce 0.2500 0.3333 0.3333  12 Ac 3.86-3.92



Entry 5:
Density functional theory data (PBE) for crystalline Ac3Ce at its relaxed geometry.

## Properties
energy of formation from the pure elements: 0.132 eV per atom

Lattice parameters (Å, degrees): 3.9204 6.7739 7.4202 117.16 105.32 90.00
Closest atoms and distances in Å follow each position.
Element x y z (fractional)
1 Ce 0.0000 0.0007 0.0000  10 Ac 3.82-3.95, 2 Ce 3.92
2 Ac 0.5000 0.4938 0.0000  8 Ac 3.85-3.92, 4 Ce 3.87-3.95
3 Ac 0.2558 0.5918 0.5115  3 Ce 3.82-3.94, 9 Ac 3.85-3.92
4 Ac 0.7442 0.0803 0.4885  3 Ce 3.82-3.94, 9 Ac 3.85-3.92



Entry 6:
Density functional theory data (PBE) for crystalline AcCe at its relaxed geometry.

## Properties
E above lowest polymorph: 608 meV per atom
energy of formation from the pure elements: 0.766 eV per atom

Lattice parameters (Å, degrees): 4.7675 4.7675 4.7675 60.00 60.00 60.00
Closest atoms and distances in Å follow each position.
Element x y z (fractional)
1 Ce 0.5000 0.5000 0.5000  6 Ac 3.37
2 Ac 0.0000 0.0000 0.0000  6 Ce 3.37



Entry 7:
Density functional theory data (PBE) for crystalline AcCe at its relaxed geometry.

## Properties
E above lowest polymorph: 0 meV per atom
energy of formation from the pure elements: 0.158 eV per atom

Lattice parameters (Å, degrees): 3.7383 7.6984 5.0588 90.00 90.00 90.04
Closest atoms and distances in Å follow each position.
Element x y z (fractional)
1 Ac 0.7497 0.3560 0.7500  5 Ce 3.55-3.69, 6 Ac 3.74-3.85
2 Ac 0.2503 0.6440 0.2500  5 Ce 3.55-3.69, 6 Ac 3.74-3.85
3 Ce 0.2495 0.1045 0.2500  6 Ce 3.53-3.74, 5 Ac 3.55-3.69
4 Ce 0.7505 0.8955 0.7500  6 Ce 3.53-3.74, 5 Ac 3.55-3.69



Entry 8:
Density functional theory data (PBE) for crystalline Ac3Ce at its relaxed geometry.

## Properties
energy of formation from the pure elements: 0.132 eV per atom

Lattice parameters (Å, degrees): 3.9132 6.2895 6.7894 90.00 90.00 90.00
Closest atoms and distances in Å follow each position.
Element x y z (fractional)
1 Ac 0.5000 0.0000 0.5028  8 Ac 3.88-3.91, 4 Ce 3.91-3.93
2 Ac 0.0000 0.5000 0.3241  2 Ce 3.83, 10 Ac 3.84-4.00
3 Ac 0.5000 0.5000 0.8380  8 Ac 3.84-4.00, 4 Ce 3.87
4 Ce 0.0000 0.0000 0.0016  10 Ac 3.83-3.93, 2 Ce 3.91



Number 1: DOS at the Fermi energy 14.5 states/eV/f.u., raw total energy -25.98 eV per cell, total moment 1.59 μB per formula unit. Number 2: DOS at the Fermi energy 11.8 states/eV/f.u., raw total energy -17.77 eV per cell, total moment 1.83 μB per formula unit. Number 3: DOS at the Fermi energy 26.6 states/eV/f.u., raw total energy -35.90 eV per cell, total moment 4.12 μB per formula unit. Number 4: DOS at the Fermi energy 11.1 states/eV/f.u., raw total energy -35.45 eV per cell, total moment 1.58 μB per formula unit. Number 5: DOS at the Fermi energy 10.5 states/eV/f.u., raw total energy -17.73 eV per cell, total moment 1.60 μB per formula unit. Number 6: DOS at the Fermi energy 7.3 states/eV/f.u., raw total energy -8.51 eV per cell, total moment 1.97 μB per formula unit. Number 7: DOS at the Fermi energy 6.2 states/eV/f.u., raw total energy -19.45 eV per cell, total moment 0.89 μB per formula unit. Number 8: DOS at the Fermi energy 10.4 states/eV/f.u., raw total energy -17.73 eV per cell, total moment 1.60 μB per formula unit.